a) TlIn2Ni | Alexandria | GGA-PBEsol | optimized geometry; magnetization = 0.00 μB/f.u.
1.0
4.3096 0.0000 0.0000
0.0000 4.3096 0.0000
0.0000 0.0000 8.7694
Tl In Ni
2 4 2
Cartesian
0.0000 0.0000 0.0000
2.1548 2.1548 4.3847
0.0000 2.1548 2.1923
0.0000 2.1548 6.5770
2.1548 0.0000 2.1923
2.1548 0.0000 6.5770
0.0000 0.0000 4.3847
2.1548 2.1548 0.0000



b) TlIn2Ni | Alexandria | GGA-PBEsol | optimized geometry; magnetization = 0.00 μB/f.u.
1.0
3.3604 0.0000 0.0000
-1.6802 2.9102 0.0000
0.0000 0.0000 26.0606
Tl In Ni
3 6 3
Cartesian
0.0000 0.0000 0.0000
0.0000 1.9402 17.3737
1.6802 0.9701 8.6869
0.0000 0.0000 13.8523
0.0000 0.0000 19.9882
0.0000 1.9402 5.1655
0.0000 1.9402 11.3013
1.6802 0.9701 2.6145
1.6802 0.9701 22.5392
0.0000 0.0000 6.8693
0.0000 1.9402 24.2430
1.6802 0.9701 15.5561



c) TlIn2Ni | Alexandria | GGA-PBEsol | optimized geometry; magnetization = 0.00 μB/f.u.
1.0
6.9505 0.0000 0.0000
0.0000 6.9505 0.0000
0.0000 0.0000 6.9505
Tl In Ni
4 8 4
Cartesian
0.0000 0.0000 0.0000
0.0000 3.4753 3.4753
3.4753 0.0000 3.4753
3.4753 3.4753 0.0000
0.0000 0.0000 3.4753
0.0000 3.4753 0.0000
1.7376 1.7376 5.2129
1.7376 5.2129 1.7376
3.4753 0.0000 0.0000
3.4753 3.4753 3.4753
5.2129 1.7376 1.7376
5.2129 5.2129 5.2129
1.7376 1.7376 1.7376
1.7376 5.2129 5.2129
5.2129 1.7376 5.2129
5.2129 5.2129 1.7376



Least stable: c)



a) Y2In2Ni | Alexandria | GGA-PBEsol | optimized geometry; magnetization = 0.00 μB/f.u.
1.0
4.2037 0.0000 0.0000
0.0000 4.2037 0.0000
0.0000 0.0000 14.2163
Y In Ni
4 4 2
Cartesian
0.0000 2.1018 3.5541
0.0000 2.1018 10.6622
2.1018 0.0000 3.5541
2.1018 0.0000 10.6622
0.0000 0.0000 1.2931
0.0000 0.0000 12.9231
2.1018 2.1018 5.8150
2.1018 2.1018 8.4013
0.0000 0.0000 7.1081
2.1018 2.1018 0.0000



b) Y2In2Ni | Alexandria | GGA-PBEsol | optimized geometry; magnetization = 0.00 μB/f.u.
1.0
4.5044 0.0000 0.0000
0.0000 14.0379 0.0000
0.0000 0.0000 3.5438
Y In Ni
4 4 2
Cartesian
0.0000 1.5205 0.0000
0.0000 12.5174 0.0000
2.2522 5.4985 0.0000
2.2522 8.5394 0.0000
0.0000 4.3775 1.7719
0.0000 9.6604 1.7719
2.2522 2.6414 1.7719
2.2522 11.3964 1.7719
0.0000 7.0189 1.7719
2.2522 0.0000 1.7719



Least stable: a)



a) Rb3InO3 | Alexandria | GGA-PBEsol | optimized geometry; magnetization = 0.14 μB/f.u.
1.0
3.7960 -5.9089 0.0000
3.7960 5.9089 0.0000
-1.3023 0.0000 6.8095
Rb In O
6 2 6
Cartesian
3.7960 3.6085 0.0000
3.1448 2.8670 3.4048
2.6002 0.0000 0.9997
3.6895 0.0000 5.8099
3.1448 -2.8670 3.4048
3.7960 -3.6085 0.0000
0.5212 0.0000 4.4040
5.7685 0.0000 2.4056
0.3029 0.0000 2.2838
1.3202 1.6811 5.2465
1.3202 -1.6811 5.2465
4.9694 1.6811 1.5631
4.9694 -1.6811 1.5631
5.9867 0.0000 4.5258



b) Rb3InO3 | Alexandria | GGA-PBEsol | optimized geometry; magnetization = 0.14 μB/f.u.
1.0
7.0050 0.0000 0.0000
0.0000 6.8765 0.0000
-6.8790 0.0000 12.8829
Rb In O
12 4 12
Cartesian
-1.3841 0.5698 4.0598
-4.8236 2.8684 10.5013
-2.5835 3.6881 7.9587
0.8560 6.6266 1.5172
-2.1297 0.2917 7.7636
1.3097 3.1465 1.3222
-1.1837 3.7300 11.5608
2.2558 6.5847 5.1193
-0.7299 0.2499 11.3657
2.7096 3.1883 4.9242
4.9497 4.0080 2.3816
1.5102 6.3067 8.8231
-0.5313 4.3473 5.3510
-3.9708 5.9675 11.7924
4.0969 0.9090 1.0905
0.6574 2.5292 7.5320
-5.8098 5.0761 11.9640
-2.3703 5.2386 5.5225
0.4083 4.8642 3.6040
-3.0312 5.4505 10.0455
-4.1601 1.1360 12.3756
-0.7206 2.3022 5.9341
0.8467 4.5742 6.9488
4.2862 5.7405 0.5074
3.1573 1.4260 2.8374
-0.2822 2.0123 9.2789
2.4964 1.6378 7.3604
5.9359 1.8004 0.9190



Least stable: b)



a) InSeO2 | Alexandria | GGA-PBEsol | optimized geometry; magnetization = 0.00 μB/f.u.
1.0
3.2890 0.0000 0.0000
-1.6445 2.8484 0.0000
0.0000 0.0000 18.9988
In Se O
3 3 6
Cartesian
0.0000 0.0000 0.0000
0.0000 1.8989 12.6659
1.6445 0.9495 6.3329
0.0000 0.0000 9.4994
0.0000 1.8989 3.1665
1.6445 0.9495 15.8324
0.0000 0.0000 7.4243
0.0000 0.0000 11.5746
0.0000 1.8989 1.0913
0.0000 1.8989 5.2416
1.6445 0.9495 13.7572
1.6445 0.9495 17.9075



b) InSeO2 | Alexandria | GGA-PBEsol | optimized geometry; magnetization = 0.00 μB/f.u.
1.0
5.8773 0.0000 0.0000
0.0000 5.8773 0.0000
0.0000 0.0000 5.8773
In Se O
4 4 8
Cartesian
0.0000 0.0000 0.0000
0.0000 2.9387 2.9387
2.9387 0.0000 2.9387
2.9387 2.9387 0.0000
0.0000 0.0000 2.9387
0.0000 2.9387 0.0000
2.9387 0.0000 0.0000
2.9387 2.9387 2.9387
1.4693 1.4693 1.4693
1.4693 1.4693 4.4080
1.4693 4.4080 1.4693
1.4693 4.4080 4.4080
4.4080 1.4693 1.4693
4.4080 1.4693 4.4080
4.4080 4.4080 1.4693
4.4080 4.4080 4.4080



Least stable: b)



a) Ta3InO9 | Alexandria | GGA-PBEsol | optimized geometry; magnetization = 0.00 μB/f.u.
1.0
5.1286 0.0000 0.0000
0.0000 7.3951 0.0000
-0.2900 0.0000 8.2583
Ta In O
6 2 18
Cartesian
0.0000 0.0000 0.0000
0.0000 3.6975 0.0000
2.2245 0.0591 5.7446
2.2245 3.6385 5.7446
2.6141 3.7566 2.5137
2.6141 7.3360 2.5137
0.0076 1.8488 3.6214
4.8310 5.5463 4.6369
0.2752 1.8488 8.0579
0.5295 4.2156 6.4796
0.5295 6.8770 6.4796
1.1726 4.0869 3.8926
1.1726 7.0057 3.8926
1.4644 1.8488 5.3645
1.6553 4.1438 0.9876
1.6553 6.9488 0.9876
1.9534 1.8488 2.6224
2.8852 5.5463 5.6359
3.1833 0.4463 7.2707
3.1833 3.2513 7.2707
3.3742 5.5463 2.8938
3.6660 0.3894 4.3657
3.6660 3.3081 4.3657
4.3090 0.5181 1.7787
4.3090 3.1795 1.7787
4.5634 5.5463 0.2004



b) Ta3InO9 | Alexandria | GGA-PBEsol | optimized geometry; magnetization = 0.00 μB/f.u.
1.0
6.3403 0.0000 0.0000
0.0000 7.5220 0.0000
0.0000 0.0000 12.3432
Ta In O
12 4 36
Cartesian
0.0000 0.0000 0.0000
0.0000 3.7610 0.0000
1.2406 0.0198 3.5618
1.2406 3.7413 3.5618
1.9296 3.7808 9.7334
1.9296 7.5023 9.7334
3.1701 0.0000 6.1716
3.1701 3.7610 6.1716
4.4107 0.0198 2.6097
4.4107 3.7413 2.6097
5.0997 3.7808 8.7813
5.0997 7.5023 8.7813
0.3625 1.8805 6.5928
2.8077 5.6415 0.4212
3.5326 1.8805 11.9219
5.9778 5.6415 5.7503
0.0475 0.4050 1.9521
0.0475 3.3560 1.9521
0.5597 5.6415 0.3502
0.7022 0.3011 8.2158
0.7022 3.4599 8.2158
0.9136 1.8805 4.2553
1.2738 5.6415 3.6822
1.2946 4.1405 5.7274
1.2946 7.1425 5.7274
1.8756 0.3795 11.8989
1.8756 3.3815 11.8989
1.8964 1.8805 9.8538
2.2566 5.6415 10.4269
2.4679 4.0621 2.0442
2.4679 7.2209 2.0442
2.6104 1.8805 6.5217
3.1227 4.1660 8.1237
3.1227 7.1170 8.1237
3.2176 0.4050 4.2194
3.2176 3.3560 4.2194
3.7299 5.6415 5.8214
3.8723 0.3011 10.2990
3.8723 3.4599 10.2990
4.0837 1.8805 1.9163
4.4439 5.6415 2.4893
4.4647 4.1405 0.4442
4.4647 7.1425 0.4442
5.0457 0.3795 6.6158
5.0457 3.3815 6.6158
5.0665 1.8805 8.6609
5.4267 5.6415 8.0879
5.6381 4.0621 4.1274
5.6381 7.2209 4.1274
5.7806 1.8805 11.9930
6.2928 4.1660 10.3910
6.2928 7.1170 10.3910



Least stable: b)



a) InOs3 | Alexandria | GGA-PBEsol | optimized geometry; magnetization = 0.00 μB/f.u.
1.0
2.8129 0.0000 0.0000
-1.4064 2.4360 0.0000
0.0000 0.0000 8.8672
In Os
1 3
Cartesian
0.0000 0.0000 0.0000
0.0000 0.0000 4.4336
0.0000 1.6240 2.3675
0.0000 1.6240 6.4997



b) InOs3 | Alexandria | GGA-PBEsol | optimized geometry; magnetization = 5.49 μB/f.u.
1.0
4.8962 0.0000 0.0000
0.0000 4.8962 0.0000
0.0000 0.0000 4.8962
In Os
1 3
Cartesian
0.0000 0.0000 0.0000
0.0000 0.0000 2.4481
0.0000 2.4481 0.0000
2.4481 0.0000 0.0000



c) InOs3 | Alexandria | GGA-PBEsol | optimized geometry; magnetization = 0.00 μB/f.u.
1.0
9.1569 0.0000 0.0000
0.0000 2.7907 0.0000
-0.7984 0.0000 4.7629
In Os
2 6
Cartesian
0.0000 0.0000 0.0000
4.5785 1.3953 0.0000
-0.3992 1.3953 2.3814
1.6149 0.0000 3.4713
2.1651 1.3953 1.2916
4.1792 0.0000 2.3814
6.1933 1.3953 3.4713
6.7436 0.0000 1.2916



Least stable: b)